The following is a GGA-PBE calculation of Pr6TlHg after structural relaxation, from Alexandria via LeMat-Bulk.

Summary:
- energy of formation (eV/atom) = 0.046
- polymorph energy (0 for the lowest one) (meV/atom) = 248
- total magnetic moment (μB per formula unit) = 1.02

Cell lengths 7.192, 12.581, 7.300 Å; angles 90.00, 119.41, 90.00 degrees
Positions (direct):
Pr (0.238, 0.209, 0.251)
Pr (0.238, 0.791, 0.251)
Pr (0.243, 0.000, 0.753)
Pr (0.257, 0.500, 0.247)
Pr (0.262, 0.291, 0.749)
Pr (0.262, 0.709, 0.749)
Pr (0.738, 0.291, 0.251)
Pr (0.738, 0.709, 0.251)
Pr (0.743, 0.500, 0.753)
Pr (0.757, 0.000, 0.247)
Pr (0.762, 0.209, 0.749)
Pr (0.762, 0.791, 0.749)
Tl (0.000, 0.500, 0.500)
Tl (0.500, 0.000, 0.500)
Hg (0.000, 0.000, 0.000)
Hg (0.500, 0.500, 0.000)


The following is a GGA-PBE calculation of Y7AsS5 after structural relaxation, from Alexandria via LeMat-Bulk.

Summary:
- formation energy from raw total energies (meV per atom) = -1772
- total magnetic moment (μB per formula unit) = 0.00

Cell lengths 6.716, 6.716, 23.297 Å; angles 90.08, 90.08, 33.81 degrees
Positions (direct):
Y (0.028, 0.028, 0.250)
Y (0.138, 0.138, 0.538)
Y (0.138, 0.138, 0.962)
Y (0.311, 0.311, 0.177)
Y (0.311, 0.311, 0.323)
Y (0.409, 0.409, 0.886)
Y (0.410, 0.410, 0.614)
Y (0.590, 0.590, 0.386)
Y (0.591, 0.591, 0.114)
Y (0.689, 0.689, 0.677)
Y (0.689, 0.689, 0.823)
Y (0.862, 0.862, 0.038)
Y (0.862, 0.862, 0.462)
Y (0.972, 0.972, 0.750)
As (0.308, 0.308, 0.751)
As (0.692, 0.692, 0.249)
S (0.050, 0.050, 0.857)
S (0.051, 0.051, 0.643)
S (0.223, 0.223, 0.071)
S (0.223, 0.223, 0.429)
S (0.500, 0.500, 0.000)
S (0.500, 0.500, 0.500)
S (0.777, 0.777, 0.571)
S (0.777, 0.777, 0.929)
S (0.949, 0.949, 0.357)
S (0.950, 0.950, 0.143)


The following is a GGA-PBE calculation of Zr3BBr3 after structural relaxation, from Alexandria via LeMat-Bulk.

Summary:
- formation energy from raw total energies (meV per atom) = -1015
- total magnetic moment (μB per formula unit) = 0.00

Cell lengths 9.270, 9.270, 9.270 Å; angles 109.47, 109.47, 109.47 degrees
Positions (direct):
Zr (0.028, 0.056, 0.278)
Zr (0.028, 0.472, 0.750)
Zr (0.056, 0.278, 0.028)
Zr (0.222, 0.278, 0.750)
Zr (0.222, 0.444, 0.472)
Zr (0.278, 0.028, 0.056)
Zr (0.278, 0.750, 0.222)
Zr (0.444, 0.472, 0.222)
Zr (0.472, 0.222, 0.444)
Zr (0.472, 0.750, 0.028)
Zr (0.750, 0.028, 0.472)
Zr (0.750, 0.222, 0.278)
B (0.000, 0.250, 0.500)
B (0.250, 0.250, 0.250)
B (0.250, 0.500, 0.000)
B (0.500, 0.000, 0.250)
Br (0.250, 0.756, 0.744)
Br (0.250, 0.994, 0.506)
Br (0.506, 0.250, 0.994)
Br (0.506, 0.756, 0.511)
Br (0.511, 0.506, 0.756)
Br (0.744, 0.250, 0.756)
Br (0.744, 0.994, 0.989)
Br (0.756, 0.511, 0.506)
Br (0.756, 0.744, 0.250)
Br (0.989, 0.744, 0.994)
Br (0.994, 0.506, 0.250)
Br (0.994, 0.989, 0.744)


The following is a GGA-PBE calculation of TbNdMg3 after structural relaxation, from Alexandria via LeMat-Bulk.

Summary:
- energy of formation (eV/atom) = 0.066
- total magnetic moment (μB per formula unit) = 0.00

Cell lengths 8.303, 8.303, 5.896 Å; angles 90.00, 90.00, 134.97 degrees
Positions (direct):
Tb (0.191, 0.809, 0.750)
Tb (0.809, 0.191, 0.250)
Nd (0.396, 0.604, 0.250)
Nd (0.604, 0.396, 0.750)
Mg (0.000, 0.000, 0.000)
Mg (0.000, 0.000, 0.500)
Mg (0.102, 0.381, 0.750)
Mg (0.381, 0.102, 0.250)
Mg (0.619, 0.898, 0.750)
Mg (0.898, 0.619, 0.250)


The following is a GGA-PBE calculation of LiPm2Ho after structural relaxation, from Alexandria via LeMat-Bulk.

Summary:
- energy of formation (eV/atom) = 0.161
- polymorph energy (0 for the lowest one) (meV/atom) = 94
- total magnetic moment (μB per formula unit) = 0.00

Cell lengths 3.504, 3.504, 36.984 Å; angles 90.00, 90.00, 120.00 degrees
Positions (direct):
Li (0.000, 0.000, 0.000)
Li (0.333, 0.667, 0.667)
Li (0.667, 0.333, 0.333)
Pm (0.000, 0.000, 0.089)
Pm (0.000, 0.000, 0.911)
Pm (0.333, 0.667, 0.578)
Pm (0.333, 0.667, 0.756)
Pm (0.667, 0.333, 0.244)
Pm (0.667, 0.333, 0.422)
Ho (0.000, 0.000, 0.500)
Ho (0.333, 0.667, 0.167)
Ho (0.667, 0.333, 0.833)


The following is a GGA-PBE calculation of TaCrCl2 after structural relaxation, from Alexandria via LeMat-Bulk.

Summary:
- formation energy from raw total energies (meV per atom) = -197
- polymorph energy (0 for the lowest one) (meV/atom) = 200
- total magnetic moment (μB per formula unit) = 3.15

Cell lengths 3.518, 4.944, 9.199 Å; angles 90.00, 90.00, 90.00 degrees
Positions (direct):
Ta (0.000, 0.000, 0.000)
Ta (0.500, 0.500, 0.000)
Cr (0.000, 0.500, 0.229)
Cr (0.500, 0.000, 0.229)
Cl (0.000, 0.000, 0.408)
Cl (0.000, 0.500, 0.799)
Cl (0.500, 0.000, 0.799)
Cl (0.500, 0.500, 0.408)


The following is a GGA-PBE calculation of LiCaErPb after structural relaxation, from Alexandria via LeMat-Bulk.

Summary:
- energy of formation (eV/atom) = -0.283
- total magnetic moment (μB per formula unit) = 0.00

Cell lengths 7.567, 7.567, 7.567 Å; angles 90.00, 90.00, 90.00 degrees
Positions (direct):
Li (0.000, 0.000, 0.000)
Li (0.000, 0.500, 0.500)
Li (0.500, 0.000, 0.500)
Li (0.500, 0.500, 0.000)
Ca (0.250, 0.250, 0.750)
Ca (0.250, 0.750, 0.250)
Ca (0.750, 0.250, 0.250)
Ca (0.750, 0.750, 0.750)
Er (0.250, 0.250, 0.250)
Er (0.250, 0.750, 0.750)
Er (0.750, 0.250, 0.750)
Er (0.750, 0.750, 0.250)
Pb (0.000, 0.000, 0.500)
Pb (0.000, 0.500, 0.000)
Pb (0.500, 0.000, 0.000)
Pb (0.500, 0.500, 0.500)


The following is a GGA-PBE calculation of CuAgAsBr2 after structural relaxation, from Alexandria via LeMat-Bulk.

Summary:
- formation energy from raw total energies (meV per atom) = 720
- polymorph energy (0 for the lowest one) (meV/atom) = 343
- total magnetic moment (μB per formula unit) = 1.60

Cell lengths 5.374, 5.374, 5.061 Å; angles 90.00, 90.00, 90.00 degrees
Positions (direct):
Cu (0.000, 0.000, 0.000)
Ag (0.500, 0.500, 0.500)
As (0.500, 0.500, 0.000)
Br (0.000, 0.500, 0.500)
Br (0.500, 0.000, 0.500)